Density functional theory data (PBEsol) for Li2ZnGe after structural relaxation.

Results
- crystal system = hexagonal
- ΔE_f (eV per atom) = -0.3485
- raw total energy (eV per atom) = -2.9621

Structure (extended XYZ):
```
8
Lattice="-3.132 2.472 1.410 1.663 -2.957 2.529 5.499 5.417 2.718" Properties=species:S:1:pos:R:3 pbc="T T T"
Li 0.520 -0.700 2.381
Zn 4.124 4.062 2.038
Li 2.360 1.113 3.290
Ge -0.159 2.016 2.462
Li 3.511 5.631 4.276
Li 1.671 3.818 3.367
Ge 4.189 2.915 4.194
Zn 1.375 1.354 0.679
```

---

Density functional theory data (PBEsol) for Sn2WBr after structural relaxation.

Results
- crystal system = cubic
- raw total energy (eV per atom) = -5.0327
- E_form (uncorrected) (kJ/mol of atoms) = 98

Structure (extended XYZ):
```
4
Lattice="-1.546 -0.828 -4.679 1.632 -4.008 -2.498 -3.119 -3.782 -0.968" Properties=species:S:1:pos:R:3 pbc="T T T"
Sn -2.274 -6.463 -6.108
Sn -0.758 -2.154 -2.036
Br 0.000 0.000 0.000
W -1.516 -4.309 -4.072
```

---

Density functional theory data (PBEsol) for Hg5Sb after structural relaxation.

Results
- relative energy among the computed polymorphs (meV/atom) = 0.0
- crystal system = orthorhombic
- raw total energy (eV per atom) = -1.2021
- E_form (uncorrected) (kJ/mol of atoms) = 3

Structure (extended XYZ):
```
6
Lattice="3.182 0.000 0.000 0.000 5.799 0.000 -1.591 0.000 8.072" Properties=species:S:1:pos:R:3 pbc="T T T"
Hg 1.591 2.900 3.628
Hg 0.000 0.000 6.275
Hg 1.591 0.000 3.588
Hg 0.000 2.900 6.241
Hg 0.000 0.000 0.896
Sb 0.000 2.900 0.898
```

---

Density functional theory data (PBEsol) for Cr2MoW after structural relaxation.

Results
- crystal system = orthorhombic
- ΔE_f (eV per atom) = 0.0836
- raw total energy (eV per atom) = -11.4313

Structure (extended XYZ):
```
4
Lattice="-2.680 -1.308 0.302 1.891 -3.693 0.786 0.424 3.397 3.600" Properties=species:S:1:pos:R:3 pbc="T T T"
W 0.961 -1.393 2.490
Cr -1.325 -0.209 2.206
Cr 0.000 0.005 0.022
Mo 0.030 0.890 4.114
```

---

Density functional theory data (PBEsol) for ZrBe3Co after structural relaxation.

Results
- crystal system = cubic
- ΔE_f (eV per atom) = -0.0592
- raw total energy (eV per atom) = -5.8245

Structure (extended XYZ):
```
5
Lattice="-3.461 1.286 1.244 -1.416 -3.624 -0.192 1.094 -0.623 3.687" Properties=species:S:1:pos:R:3 pbc="T T T"
Zr -1.892 -1.481 2.370
Be -0.708 -1.812 -0.096
Be -1.730 0.643 0.622
Co 0.000 0.000 0.000
Be 0.547 -0.312 1.844
```

---

Density functional theory data (PBEsol) for TcIrC2 after structural relaxation.

Results
- crystal system = cubic
- ΔE_f (eV per atom) = 1.1304
- raw total energy (eV per atom) = -8.9639

Structure (extended XYZ):
```
4
Lattice="3.775 0.000 0.000 1.887 3.269 0.000 1.887 1.090 3.082" Properties=species:S:1:pos:R:3 pbc="T T T"
Ir 3.775 2.179 1.541
C 5.662 3.269 2.312
C 1.887 1.090 0.771
Tc 0.000 0.000 0.000
```

---

Density functional theory data (PBEsol) for MgCrPb after structural relaxation.

Results
- crystal system = cubic
- ΔE_f (eV per atom) = 0.5171
- raw total energy (eV per atom) = -4.8022

Structure (extended XYZ):
```
3
Lattice="4.670 0.000 0.000 2.335 4.044 0.000 2.335 1.348 3.813" Properties=species:S:1:pos:R:3 pbc="T T T"
Mg 4.670 2.696 1.906
Cr 0.000 0.000 0.000
Pb 2.335 1.348 0.953
```

---

Density functional theory data (PBEsol) for NiSb2H12O6F8 after structural relaxation.

Results
- crystal system = monoclinic
- raw total energy (eV per atom) = -5.0118

Structure (extended XYZ):
```
58
Lattice="4.845 -0.052 0.000 -1.345 6.492 0.000 0.000 0.000 18.007" Properties=species:S:1:pos:R:3 pbc="T T T"
F 2.722 2.279 5.036
H 2.701 2.185 15.975
H 0.740 3.416 15.778
O -0.068 5.690 7.515
H 3.868 1.210 16.424
H 0.890 2.007 8.565
O 3.373 1.282 7.765
Ni -0.672 3.246 0.000
F 1.889 4.057 3.265
H 3.259 5.362 16.987
O 0.128 5.157 10.242
O 2.445 4.947 8.605
F 0.779 4.161 12.971
Sb 1.106 3.384 5.110
O 3.569 0.750 10.493
H 2.727 1.958 7.421
H 2.761 3.024 2.229
H 3.835 0.144 11.232
O 2.806 4.712 17.608
F 0.323 0.240 16.238
F 0.512 1.715 3.348
H 1.992 4.297 7.983
O 0.473 4.022 16.518
Ni 2.423 -0.026 9.004
H -0.394 5.457 11.036
O 3.223 1.885 16.768
H 2.640 5.227 0.438
Sb 2.395 3.055 12.898
F 3.874 0.888 14.040
H -0.334 6.296 6.775
H 0.773 4.482 10.586
F 3.362 5.603 12.268
H -0.368 5.230 1.583
H -0.935 5.382 7.926
H 0.242 1.077 1.021
H 0.799 4.254 2.032
O 0.277 4.555 1.239
H 1.340 4.330 16.930
F 2.989 4.724 14.659
O 3.027 2.418 1.489
F 2.262 4.935 5.655
F -0.374 5.551 3.968
F 3.178 6.200 1.769
H 1.508 2.142 10.024
F 2.073 3.459 10.773
F 1.427 2.980 7.235
F 0.139 0.837 5.739
F 1.611 2.383 14.742
H 0.860 1.213 17.569
Sb 4.201 0.112 3.894
F 1.238 1.504 12.352
Sb -0.700 6.327 14.113
O 1.056 1.493 9.403
O 0.695 1.727 0.399
H 3.894 0.982 6.972
H 4.435 1.058 10.081
H 2.610 4.432 9.442
H 2.160 2.110 1.078
```

---

Q: Which of these has the lowest raw total energy?
A: Cr2MoW

---

Q: What is the formula in the eighth record?
A: NiSb2H12O6F8

---

Q: Which of these has the highest raw total energy?
A: Hg5Sb